No. 1
A relaxed In2ReAg crystal, computed with GGA-PBE.

Summary:
As for the formation enthalpy at 0 K: 601.9 meV/atom. Its space group is P4mm (99).

```
In2ReAg
1.0
-0.384 -2.832 2.281
-1.733 -1.874 -2.619
5.088 -2.158 -1.822
Re Ag In
1 1 2
Direct
0.000 0.000 0.479
0.500 0.500 0.757
0.000 0.000 0.977
0.500 0.500 0.287
```

***

No. 2
A relaxed InRe2Ag crystal, computed with GGA-PBE.

Summary:
As for the formation enthalpy at 0 K: 646.4 meV/atom. Its space group is C2/m (12).

```
InRe2Ag
1.0
-1.728 3.535 -3.347
0.238 1.953 -4.777
-3.518 -2.382 -2.200
Re Ag In
2 1 1
Direct
0.997 0.997 0.999
0.503 0.503 0.501
0.750 0.750 0.750
0.250 0.250 0.250
```

***

No. 3
A relaxed In2ReAg crystal, computed with GGA-PBE.

Summary:
As for the formation enthalpy at 0 K: 577.6 meV/atom. Its space group is P4mm (99).

```
In2ReAg
1.0
-2.189 0.349 1.866
-1.751 -1.472 -1.778
2.434 -8.198 4.389
Re Ag In
1 1 2
Direct
0.000 0.000 0.511
0.500 0.500 0.723
0.000 0.000 0.979
0.500 0.500 0.287
```

***

No. 4
A relaxed In2ReAg crystal, computed with GGA-PBE.

Summary:
As for the formation enthalpy at 0 K: 436.8 meV/atom. Its space group is Cm (8).

```
In2ReAg
1.0
5.580 0.015 -0.003
4.832 2.791 -0.003
0.803 0.216 4.948
Re Ag In
1 1 2
Direct
0.514 0.514 0.538
0.227 0.227 0.220
0.988 0.988 0.046
0.771 0.771 0.696
```

***

No. 5
A relaxed InRe2Ag crystal, computed with GGA-PBE.

Summary:
As for the formation enthalpy at 0 K: 724.4 meV/atom. Its space group is R-3m (166).

```
InRe2Ag
1.0
9.687 -0.007 -0.004
9.269 2.817 -0.004
9.269 1.374 2.459
Re Ag In
2 1 1
Direct
0.000 0.000 0.000
0.500 0.500 0.500
0.250 0.250 0.250
0.750 0.750 0.750
```

***

No. 6
A relaxed InRe2Ag crystal, computed with GGA-PBE.

Summary:
As for the formation enthalpy at 0 K: 327.0 meV/atom. Its space group is R3m (160).

```
InRe2Ag
1.0
-5.795 -0.614 7.714
-7.453 -2.013 5.819
-5.395 -3.429 7.252
Re Ag In
2 1 1
Direct
0.994 0.994 0.994
0.256 0.256 0.256
0.503 0.503 0.503
0.746 0.746 0.746
```

***

No. 7
A relaxed InRe2Ag crystal, computed with GGA-PBE.

Summary:
As for the formation enthalpy at 0 K: 424.2 meV/atom. Its space group is Pm (6).

```
InRe2Ag
1.0
3.845 0.000 0.000
0.000 2.946 -0.009
0.000 2.791 6.088
Re Ag In
2 1 1
Direct
0.000 0.990 0.039
0.500 0.256 0.216
0.000 0.496 0.500
0.500 0.758 0.745
```

***

No. 8
A relaxed In2ReAg crystal, computed with GGA-PBE.

Summary:
As for the formation enthalpy at 0 K: 880.4 meV/atom. Its space group is I-42d (122).

```
In2ReAg
1.0
4.242 0.000 0.000
0.000 4.242 0.000
2.121 2.121 9.469
Re Ag In
2 2 4
Direct
0.000 0.000 0.000
0.750 0.250 0.500
0.500 0.500 0.000
0.250 0.750 0.500
0.639 0.125 0.250
0.111 0.625 0.250
0.375 0.361 0.750
0.875 0.889 0.750
```

***

No. 9
A relaxed In2ReAg crystal, computed with GGA-PBE.

Summary:
As for the formation enthalpy at 0 K: 558.8 meV/atom. Its space group is Fm-3m (225).

```
In2ReAg
1.0
0.000 3.350 3.350
3.350 0.000 3.350
3.350 3.350 0.000
Re Ag In
1 1 2
Direct
0.500 0.500 0.500
0.000 0.000 0.000
0.250 0.250 0.250
0.750 0.750 0.750
```

***

No. 10
A relaxed InRe2Ag crystal, computed with GGA-PBE.

Summary:
As for the formation enthalpy at 0 K: 654.3 meV/atom. Its space group is Pmmm (47).

```
InRe2Ag
1.0
-2.666 -1.304 1.107
0.664 -3.541 -2.574
2.497 -2.103 3.537
Re Ag In
2 1 1
Direct
0.000 0.000 0.000
0.500 0.500 0.000
0.500 0.000 0.500
0.000 0.500 0.500
```

***

No. 11
A relaxed InRe2Ag crystal, computed with GGA-PBE.

Summary:
As for the formation enthalpy at 0 K: 655.6 meV/atom. Its space group is Immm (71).

```
InRe2Ag
1.0
-0.410 -4.655 2.977
1.640 -4.865 -2.086
1.388 5.188 1.363
Re Ag In
2 1 1
Direct
0.004 0.004 0.000
0.496 0.496 0.000
0.750 0.250 0.500
0.250 0.750 0.500
```

***

No. 12
A relaxed InRe2Ag2 crystal, computed with GGA-PBE.

Summary:
As for the formation enthalpy at 0 K: 861.6 meV/atom. Its space group is P4/mbm (127).

```
InRe2Ag2
1.0
8.382 0.000 0.000
0.000 8.382 0.000
0.000 0.000 2.758
Re Ag In
4 4 2
Direct
0.098 0.598 0.500
0.598 0.902 0.500
0.902 0.402 0.500
0.402 0.098 0.500
0.308 0.808 0.000
0.808 0.692 0.000
0.692 0.192 0.000
0.192 0.308 0.000
0.000 0.000 0.000
0.500 0.500 0.000
```